! NaMgCr2H (GGA-PBE, optimized geometry); values from VASP
! Space group = P4/mmm
! Electronic total energy = -3.850 eV per atom
&SYSTEM
  ibrav = 0, nat = 5, ntyp = 4
/
ATOMIC_SPECIES
Cr 52.00 Cr.upf
Mg 24.30 Mg.upf
H 1.01 H.upf
Na 22.99 Na.upf
ATOMIC_POSITIONS crystal
Cr 0.000 0.000 0.500
Cr 0.500 0.000 0.000
Mg 0.500 0.500 0.500
H 0.000 0.500 0.000
Na 0.000 0.000 0.000
CELL_PARAMETERS angstrom
-5.416 0.032 1.384
0.038 -3.442 0.228
1.383 0.373 5.403

---

! CeDy2Ga2Cu2 (GGA-PBE, optimized geometry); values from VASP
! Space group = R-3m
! Electronic total energy = -4.556 eV per atom
&SYSTEM
  ibrav = 0, nat = 7, ntyp = 4
/
ATOMIC_SPECIES
Ce 140.12 Ce.upf
Dy 162.50 Dy.upf
Ga 69.72 Ga.upf
Cu 63.55 Cu.upf
ATOMIC_POSITIONS crystal
Ce 0.000 0.000 0.000
Dy 0.125 0.125 0.625
Dy 0.875 0.875 0.375
Ga 0.738 0.738 0.785
Ga 0.262 0.262 0.215
Cu 0.598 0.598 0.206
Cu 0.402 0.402 0.794
CELL_PARAMETERS angstrom
4.406 0.000 0.000
2.203 3.816 0.000
2.203 1.272 9.138